Entry 1:
This record from Alexandria describes crystalline NaAcLu at its relaxed geometry. The functional is GGA-PBE.

Cell: 3.728 3.728 9.328 Å, 90.00 90.00 120.00°
Last column: magnetic moment on the atom in μB.
Positions (direct):
Ac 0.333 0.667 0.649  0.04
Na 0.000 0.000 0.012  0.01
Lu 0.667 0.333 0.339  0.20

Properties
Magnetization (μB/f.u.): 0.5
Calculated total energy (eV per cell): -9.4
Formation energy from the elements (kJ per mole of atoms): 17.9
Energy above the lowest structure with this stoichiometry (kJ/mol of formula units): 0.0
Symmetry: P3m1, No. 156

=====

Entry 2:
This record from Alexandria describes crystalline SmPd6 at its relaxed geometry. The functional is GGA-PBE.

Cell: 5.346 8.821 10.575 Å, 90.00 90.00 90.00°
Positions (direct):
Pd 0.250 0.057 0.929
Pd 0.750 0.187 0.229
Pd 0.994 0.559 0.799
Pd 0.250 0.813 0.771
Pd 0.750 0.335 0.664
Pd 0.506 0.059 0.701
Pd 0.750 0.108 0.480
Pd 0.750 0.835 0.836
Pd 0.006 0.941 0.299
Pd 0.250 0.313 0.729
Pd 0.250 0.165 0.164
Pd 0.494 0.441 0.201
Pd 0.250 0.665 0.336
Pd 0.250 0.557 0.571
Pd 0.494 0.941 0.299
Pd 0.750 0.687 0.271
Pd 0.250 0.892 0.520
Pd 0.994 0.059 0.701
Pd 0.006 0.441 0.201
Pd 0.750 0.943 0.071
Pd 0.250 0.392 0.980
Pd 0.750 0.608 0.020
Pd 0.750 0.443 0.429
Pd 0.506 0.559 0.799
Sm 0.250 0.253 0.442
Sm 0.750 0.747 0.558
Sm 0.750 0.247 0.942
Sm 0.250 0.753 0.058

Properties
Magnetization (μB/f.u.): 0.0
Calculated total energy (eV per cell): -155.1
Formation energy from the elements (kJ per mole of atoms): -40.1
Energy above the lowest structure with this stoichiometry (kJ/mol of formula units): 0.0
Symmetry: Pnma, No. 62

=====

Entry 3:
This record from Alexandria describes crystalline LaCeS2 at its relaxed geometry. The functional is GGA-PBE.

Cell: 4.089 4.089 7.104 Å, 73.25 73.25 60.04°
Last column: magnetic moment on the atom in μB.
Positions (direct):
S 0.253 0.253 0.242  -0.01
S 0.747 0.747 0.758  -0.01
La 0.500 0.500 0.500  0.01
Ce 0.000 0.000 0.000  0.67

Properties
Energy relative to the elements, uncorrected (eV/atom): -2.10
Magnetization (μB/f.u.): 0.8
Calculated total energy (eV per cell): -27.5
Energy above the lowest structure with this stoichiometry (kJ/mol of formula units): 0.0
Symmetry: R-3m, No. 166

=====

Entry 4:
This record from Alexandria describes crystalline AuN at its relaxed geometry. The functional is GGA-PBE.

Cell: 7.754 7.754 4.071 Å, 90.00 90.00 90.00°
Positions (direct):
N 0.177 0.657 0.500
N 0.157 0.323 0.000
N 0.823 0.343 0.500
N 0.323 0.843 0.000
N 0.843 0.677 0.000
N 0.677 0.157 0.000
N 0.343 0.177 0.500
N 0.657 0.823 0.500
Au 0.725 0.088 0.500
Au 0.275 0.912 0.500
Au 0.588 0.775 0.000
Au 0.412 0.225 0.000
Au 0.912 0.725 0.500
Au 0.775 0.412 0.000
Au 0.088 0.275 0.500
Au 0.225 0.588 0.000

Properties
Energy relative to the elements, uncorrected (eV/atom): 1.30
Magnetization (μB/f.u.): 0.0
Calculated total energy (eV per cell): -72.0
Energy above the lowest structure with this stoichiometry (kJ/mol of formula units): 0.0
Symmetry: I4/m, No. 87

=====

Entry 5:
This record from Alexandria describes crystalline ReAgP2 at its relaxed geometry. The functional is GGA-PBE.

Cell: 2.910 2.910 8.684 Å, 90.00 90.00 118.17°
Positions (direct):
Re 0.500 0.500 0.250
Ag 0.500 0.500 0.750
P 0.000 0.000 0.032
P 0.000 0.000 0.468

Properties
Magnetization (μB/f.u.): 0.0
Calculated total energy (eV per cell): -24.4
Formation energy from the elements (kJ per mole of atoms): 40.8
Energy above the lowest structure with this stoichiometry (kJ/mol of formula units): 153.2
Symmetry: Cmmm, No. 65

=====

Entry 6:
This record from Alexandria describes crystalline BaIr2Au at its relaxed geometry. The functional is GGA-PBE.

Cell: 4.784 3.025 6.142 Å, 79.58 90.00 90.00°
Positions (direct):
Ba 0.500 0.750 0.750
Ir 0.000 0.062 0.074
Ir 0.000 0.438 0.426
Au 0.500 0.250 0.250

Properties
Magnetization (μB/f.u.): 0.0
Calculated total energy (eV per cell): -21.1
Formation energy from the elements (kJ per mole of atoms): 44.0
Energy above the lowest structure with this stoichiometry (kJ/mol of formula units): 230.2
Symmetry: P2/m, No. 10

=====

Q: Which value of calculated total energy does entry 3 give?
A: -27.5 eV per cell

=====

Q: magnetization of number 1 (NaAcLu)?
A: 0.5 μB/f.u.

=====

Q: What is the magnetization in the second record?
A: 0.0 μB/f.u.

=====

Q: Look up the energy above the lowest structure with this stoichiometry of the fifth one.
A: 153.2 kJ/mol of formula units